This record from Alexandria via LeMat-Bulk describes a geometry-optimized NdSmCo4O12 structure. The functional is PBE+U.

a b c (Å): 5.2742 5.2742 7.5075
angles (deg): 90.00 90.00 90.00
With the nearest neighbours (Å) after each atom.
Fractional coordinates of all 18 atoms:
Nd 0.5000 0.5000 0.0000  12 O 2.64-2.66
Sm 0.0000 0.0000 0.5000  12 O 2.63-2.64
Co 0.0000 0.5000 0.7496  6 O 1.86-1.88
Co 0.0000 0.5000 0.2504  6 O 1.86-1.88
Co 0.5000 0.0000 0.2504  6 O 1.86-1.88
Co 0.5000 0.0000 0.7496  6 O 1.86-1.88
O 0.2490 0.2490 0.2519  2 Co 1.86
O 0.2490 0.2490 0.7481  2 Co 1.86
O 0.7510 0.7510 0.2519  2 Co 1.86
O 0.7510 0.7510 0.7481  2 Co 1.86
O 0.7510 0.2490 0.7481  2 Co 1.86
O 0.7510 0.2490 0.2519  2 Co 1.86
O 0.2490 0.7510 0.7481  2 Co 1.86
O 0.2490 0.7510 0.2519  2 Co 1.86
O 0.0000 0.5000 0.5000  2 Co 1.87
O 0.0000 0.5000 0.0000  2 Co 1.88
O 0.5000 0.0000 0.5000  2 Co 1.87
O 0.5000 0.0000 0.0000  2 Co 1.88

Computed properties:
Mass density = 5.7 g/cm³
VASP energy = -110.3 eV for the cell shown
Magnetic moment = 13.92 μB/cell
DOS(E_F) = 0.6215 states/eV per atom